(1)
## CrRhW3 (meta-GGA SCAN)

Data for a PBEsol-optimized structure of CrRhW3.

a b c (Å): 4.6312 4.6312 4.6312
angles (deg): 90.00 90.00 90.00
Closest atoms and distances in Å follow each position.
Positions (direct):
Cr 0.5000 0.5000 0.5000  12 W 3.27
Rh 0.0000 0.0000 0.0000  6 W 2.32
W 0.0000 0.5000 0.0000  2 Rh 2.32
W 0.0000 0.0000 0.5000  2 Rh 2.32
W 0.5000 0.0000 0.0000  2 Rh 2.32

Results
The space-group type is Pm-3m (221). Its energy relative to the elements is 2.125 eV per atom. The total energy is -50.1190 eV per atom. The calculation puts the density of states at the Fermi level at 1.11 states/eV/atom.

=====

(2)
## Cr4RhW (meta-GGA SCAN)

Data for a PBEsol-optimized structure of Cr4RhW.

a b c (Å): 4.7084 4.7084 4.7084
angles (deg): 60.00 60.00 60.00
Closest atoms and distances in Å follow each position.
Positions (direct):
Cr 0.3737 0.3737 0.3737  6 Cr 2.33-2.38
Cr 0.3737 0.3737 0.8789  6 Cr 2.33-2.38
Cr 0.8789 0.3737 0.3737  6 Cr 2.33-2.38
Cr 0.3737 0.8789 0.3737  6 Cr 2.33-2.38
Rh 0.7500 0.7500 0.7500  12 Cr 2.76, 4 W 2.88
W 0.0000 0.0000 0.0000  12 Cr 2.76, 4 Rh 2.88

Results
The space-group type is F-43m (216). Its energy relative to the elements is 0.063 eV per atom. The total energy is -29.4370 eV per atom. The calculation puts the density of states at the Fermi level at 0.93 states/eV/atom.

=====

Q: The highest energy relative to the elements belongs to which entry?
A: CrRhW3

=====

Copy entry 2 word for word.
## Cr4RhW (meta-GGA SCAN)

Data for a PBEsol-optimized structure of Cr4RhW.

a b c (Å): 4.7084 4.7084 4.7084
angles (deg): 60.00 60.00 60.00
Closest atoms and distances in Å follow each position.
Positions (direct):
Cr 0.3737 0.3737 0.3737  6 Cr 2.33-2.38
Cr 0.3737 0.3737 0.8789  6 Cr 2.33-2.38
Cr 0.8789 0.3737 0.3737  6 Cr 2.33-2.38
Cr 0.3737 0.8789 0.3737  6 Cr 2.33-2.38
Rh 0.7500 0.7500 0.7500  12 Cr 2.76, 4 W 2.88
W 0.0000 0.0000 0.0000  12 Cr 2.76, 4 Rh 2.88

Results
The space-group type is F-43m (216). Its energy relative to the elements is 0.063 eV per atom. The total energy is -29.4370 eV per atom. The calculation puts the density of states at the Fermi level at 0.93 states/eV/atom.

=====

Q: The lowest energy relative to the elements belongs to which entry?
A: Cr4RhW